Entry from Alexandria: a geometry-optimized VBiP2O structure (GGA+U).

a b c (Å): 5.1858 5.1858 4.1187
angles (deg): 90.00 90.00 90.00
Closest atoms and distances in Å follow each position.
Fractional positions:
V1 0.0000 0.0000 0.0000  8 P 3.31, 4 O 3.67
Bi1 0.5000 0.5000 0.5000  2 O 2.06
P1 0.0000 0.5000 0.5000  2 Bi 2.59
P2 0.5000 0.0000 0.5000  2 Bi 2.59
O1 0.5000 0.5000 0.0000  2 Bi 2.06

Output
* relative energy among the computed polymorphs: 1387 meV/atom
* crystal system: tetragonal
* density of states at the Fermi level: 1.163 states/eV per atom
* mass density: 5.07 Mg/m³